Entry from Alexandria via LeMat-Bulk: a geometry-optimized Ni6SnB structure (PBE-GGA).

Cell lengths 4.7065, 4.7065, 4.7065 Å; angles 100.80, 100.80, 100.80 degrees
Fractional positions:
Ni 0.2135 0.2135 0.5974
Ni 0.2135 0.5974 0.2135
Ni 0.4026 0.7865 0.7865
Ni 0.5974 0.2135 0.2135
Ni 0.7865 0.4026 0.7865
Ni 0.7865 0.7865 0.4026
Sn 0.0000 0.0000 0.0000
B 0.5000 0.5000 0.5000

Values from the calculation:
Formation enthalpy at 0 K (kcal/mol of atoms): 0.34
ΔE to the lowest computed polymorph (meV/atom): 0.0
Total magnetic moment (μB per cell): 0.0

Entry from Alexandria via LeMat-Bulk: a geometry-optimized AlRhCl2 structure (PBE-GGA).

Cell lengths 8.6014, 8.6014, 8.6014 Å; angles 151.25, 151.25, 41.11 degrees
Fractional positions:
Al 0.0000 0.0000 0.0000
Al 0.7500 0.2500 0.5000
Rh 0.2500 0.7500 0.5000
Rh 0.5000 0.5000 0.0000
Cl 0.1246 0.6250 0.9996
Cl 0.3750 0.3746 0.4996
Cl 0.6254 0.1250 0.0004
Cl 0.8750 0.8754 0.5004

Values from the calculation:
ΔE to the lowest computed polymorph (meV/atom): 609.1
E_form (uncorrected) (eV per atom): 0.02
Total magnetic moment (μB per cell): 0.9

Entry from Alexandria via LeMat-Bulk: a geometry-optimized ZrMnNi6 structure (PBE-GGA).

Cell lengths 6.3514, 6.3514, 10.3981 Å; angles 90.00, 90.00, 109.87 degrees
Fractional positions:
Zr 0.0000 0.0000 0.2456
Zr 0.0000 0.0000 0.7544
Zr 0.2462 0.7538 0.5000
Zr 0.7538 0.2462 0.5000
Mn 0.2427 0.7573 0.0000
Mn 0.5000 0.5000 0.2444
Mn 0.5000 0.5000 0.7556
Mn 0.7573 0.2427 0.0000
Ni 0.0000 0.0000 0.0000
Ni 0.0000 0.0000 0.5000
Ni 0.1307 0.3854 0.1204
Ni 0.1307 0.3854 0.8796
Ni 0.1349 0.3803 0.3699
Ni 0.1349 0.3803 0.6301
Ni 0.2536 0.7464 0.2429
Ni 0.2536 0.7464 0.7571
Ni 0.3803 0.1349 0.3699
Ni 0.3803 0.1349 0.6301
Ni 0.3854 0.1307 0.1204
Ni 0.3854 0.1307 0.8796
Ni 0.5000 0.5000 0.0000
Ni 0.5000 0.5000 0.5000
Ni 0.6146 0.8693 0.1204
Ni 0.6146 0.8693 0.8796
Ni 0.6197 0.8651 0.3699
Ni 0.6197 0.8651 0.6301
Ni 0.7464 0.2536 0.2429
Ni 0.7464 0.2536 0.7571
Ni 0.8651 0.6197 0.3699
Ni 0.8651 0.6197 0.6301
Ni 0.8693 0.6146 0.1204
Ni 0.8693 0.6146 0.8796

Values from the calculation:
Formation enthalpy at 0 K (kcal/mol of atoms): -5.56
Total magnetic moment (μB per cell): 18.2

Entry from Alexandria via LeMat-Bulk: a geometry-optimized Ac5In2Pt structure (PBE-GGA).

Cell lengths 8.8207, 13.2443, 5.0571 Å; angles 90.00, 90.00, 90.00 degrees
Fractional positions:
Ac 0.0000 0.0000 0.0000
Ac 0.1414 0.2954 0.0000
Ac 0.1814 0.5727 0.5000
Ac 0.3186 0.0727 0.5000
Ac 0.3586 0.7954 0.0000
Ac 0.5000 0.5000 0.0000
Ac 0.6414 0.2046 0.0000
Ac 0.6814 0.9273 0.5000
Ac 0.8186 0.4273 0.5000
Ac 0.8586 0.7046 0.0000
In 0.0749 0.8321 0.5000
In 0.4251 0.3321 0.5000
In 0.5749 0.6679 0.5000
In 0.9251 0.1679 0.5000
Pt 0.0000 0.5000 0.0000
Pt 0.5000 0.0000 0.0000

Values from the calculation:
Formation enthalpy at 0 K (kcal/mol of atoms): -11.94
Total magnetic moment (μB per cell): 0.0

Entry from Alexandria via LeMat-Bulk: a geometry-optimized MgZr2IrO structure (PBE-GGA).

Cell lengths 4.4772, 4.4772, 3.9946 Å; angles 90.00, 90.00, 90.00 degrees
Fractional positions:
Mg 0.0000 0.0000 0.0000
Zr 0.0000 0.5000 0.5000
Zr 0.5000 0.0000 0.5000
Ir 0.5000 0.5000 0.0000
O 0.0000 0.0000 0.5000

Values from the calculation:
E_form (uncorrected) (eV per atom): -1.27
Total magnetic moment (μB per cell): 0.0

Entry from Alexandria via LeMat-Bulk: a geometry-optimized K3Rb4Au structure (PBE-GGA).

Cell lengths 14.6920, 11.5860, 6.4199 Å; angles 90.00, 90.00, 90.00 degrees
Fractional positions:
K 0.0000 0.1764 0.9997
K 0.1672 0.5535 0.5000
K 0.3328 0.4465 0.0000
K 0.5000 0.8236 0.4997
K 0.6672 0.4465 0.0000
K 0.8328 0.5535 0.5000
Rb 0.0000 0.5118 0.0000
Rb 0.0000 0.8828 0.4994
Rb 0.2203 0.1765 0.4996
Rb 0.2797 0.8235 0.9996
Rb 0.5000 0.1172 0.9994
Rb 0.5000 0.4882 0.5000
Rb 0.7203 0.8235 0.9996
Rb 0.7797 0.1765 0.4996
Au 0.0000 0.3399 0.5002
Au 0.5000 0.6601 0.0002

Values from the calculation:
Formation enthalpy at 0 K (kcal/mol of atoms): -1.02
Total magnetic moment (μB per cell): 0.0

Q: What is the formula in the first record?
A: Ni6SnB

Q: total magnetic moment of number 5 (MgZr2IrO)?
A: 0.0 μB per cell

Q: total magnetic moment of number 5 (MgZr2IrO)?
A: 0.0 μB per cell